An optimized crystal structure of ScTlBr. Source: Alexandria via LeMat-Bulk, functional GGA-PBE.

Output
energy	-50.05	eV per cell
raw formation energy	-69	kJ per mole of atoms
distance to the lowest polymorph of the same formula	0.000	eV per formula unit

Cell: 15.0290 3.4583 6.8194 Å, 90.00 104.66 90.00°
Closest atoms and distances in Å follow each position.
Space group C2/m (No. 12)
Asymmetric unit:
Sc: 0.1323 0.0000 0.3259 [4 per cell]  3 Br 2.75-2.80
Tl: 0.0000 0.5000 0.0000 [2 per cell]  4 Sc 3.11, 4 Tl 3.41-3.46
Tl: 0.0000 0.5000 0.5000 [2 per cell]  4 Sc 3.09, 4 Tl 3.41-3.46
Br: 0.2343 0.0000 0.7312 [4 per cell]  3 Sc 2.75-2.80